# 1
VASP calculation (GGA-PBE) on a relaxed Pu2SbF crystal.

Results
space group = P4/mmm
DOS(E_F) = 13.3 states/eV per cell
E above lowest polymorph = 0.72 eV/f.u.
uncorrected energy = -0.7169 Ry per atom

a = 3.511 Å, b = 3.511 Å, c = 7.326 Å
α = 90.00°, β = 90.00°, γ = 90.00°
Site moments in Bohr magnetons follow the coordinates.
Element x y z (fractional)
F1 0.500 0.500 0.000  0.01
Pu1 0.000 0.000 0.229  5.83
Sb1 0.500 0.500 0.500  -0.10
Pu2 0.000 0.000 0.771  5.83

# 2
VASP calculation (GGA-PBE) on a relaxed Pu2SbF crystal.

Results
space group = R-3m
DOS(E_F) = 15.7 states/eV per cell
E above lowest polymorph = 0.00 eV/f.u.
uncorrected energy = -0.7302 Ry per atom

a = 4.191 Å, b = 4.191 Å, c = 6.823 Å
α = 72.12°, β = 72.12°, γ = 60.00°
Site moments in Bohr magnetons follow the coordinates.
Element x y z (fractional)
F1 0.000 0.000 0.000  -0.02
Pu1 0.733 0.733 0.802  5.66
Pu2 0.267 0.267 0.198  5.66
Sb1 0.500 0.500 0.500  -0.13

# 3
VASP calculation (GGA-PBE) on a relaxed Pu2SbF11 crystal.

Results
space group = Ibam
DOS(E_F) = 38.9 states/eV per cell
uncorrected energy = -0.5070 Ry per atom

a = 8.425 Å, b = 8.621 Å, c = 8.621 Å
α = 73.15°, β = 60.75°, γ = 60.75°
Site moments in Bohr magnetons follow the coordinates.
Element x y z (fractional)
F1 0.770 0.464 0.821  -0.02
F2 0.055 0.179 0.536  -0.02
Sb1 0.250 0.250 0.250  -0.02
Pu1 0.654 0.681 0.319  4.12
F3 0.919 0.430 0.295  -0.03
F4 0.730 0.679 0.036  -0.02
Pu2 0.154 0.819 0.181  4.12
F5 0.270 0.321 0.964  -0.02
F6 0.631 0.287 0.713  -0.03
F7 0.869 0.787 0.213  -0.03
F8 0.445 0.964 0.321  -0.02
F9 0.369 0.713 0.287  -0.03
F10 0.419 0.795 0.930  -0.03
Pu3 0.346 0.319 0.681  4.12
F11 0.581 0.205 0.070  -0.03
F12 0.081 0.570 0.705  -0.03
Pu4 0.846 0.181 0.819  4.12
F13 0.357 0.295 0.430  -0.03
F14 0.555 0.036 0.679  -0.02
Sb2 0.750 0.750 0.750  -0.02
F15 0.857 0.930 0.795  -0.03
F16 0.131 0.213 0.787  -0.03
F17 0.643 0.705 0.570  -0.03
F18 0.945 0.821 0.464  -0.02
F19 0.230 0.536 0.179  -0.02
F20 0.000 0.000 0.000  -0.03
F21 0.143 0.070 0.205  -0.03
F22 0.500 0.500 0.500  -0.03

# 4
VASP calculation (GGA-PBE) on a relaxed PuScF5 crystal.

Results
space group = C2/c
DOS(E_F) = 21.1 states/eV per cell
uncorrected energy = -0.5782 Ry per atom

a = 5.910 Å, b = 5.910 Å, c = 8.233 Å
α = 69.54°, β = 69.54°, γ = 70.59°
Site moments in Bohr magnetons follow the coordinates.
Element x y z (fractional)
F1 0.932 0.068 0.250  0.00
Pu1 0.558 0.442 0.250  5.64
F2 0.800 0.739 0.120  -0.01
F3 0.261 0.200 0.380  -0.01
Sc1 0.000 0.000 0.500  0.25
F4 0.200 0.261 0.880  -0.01
F5 0.719 0.321 0.530  -0.01
F6 0.068 0.932 0.750  0.00
Pu2 0.442 0.558 0.750  5.64
F7 0.739 0.800 0.620  -0.01
Sc2 0.000 0.000 0.000  0.25
F8 0.321 0.719 0.030  -0.01
F9 0.679 0.281 0.970  -0.01
F10 0.281 0.679 0.470  -0.01

# 5
VASP calculation (GGA-PBE) on a relaxed Pu2ScF8 crystal.

Results
space group = C2/m
DOS(E_F) = 17.9 states/eV per cell
uncorrected energy = -0.5952 Ry per atom

a = 3.961 Å, b = 6.547 Å, c = 7.408 Å
α = 100.89°, β = 90.00°, γ = 107.61°
Site moments in Bohr magnetons follow the coordinates.
Element x y z (fractional)
F1 0.927 0.854 0.874  -0.01
Pu1 0.736 0.473 0.736  5.39
F2 0.450 0.899 0.241  -0.01
F3 0.073 0.146 0.126  -0.01
F4 0.550 0.101 0.759  -0.01
Pu2 0.264 0.527 0.264  5.39
F5 0.191 0.383 0.555  -0.01
F6 0.690 0.381 0.072  -0.01
F7 0.310 0.619 0.928  -0.01
Sc1 0.500 0.000 0.000  0.11
F8 0.809 0.617 0.445  -0.01

# 6
VASP calculation (GGA-PBE) on a relaxed PuSc2F crystal.

Results
space group = R-3m
DOS(E_F) = 9.2 states/eV per cell
uncorrected energy = -0.5884 Ry per atom

a = 3.093 Å, b = 3.093 Å, c = 9.681 Å
α = 80.81°, β = 80.81°, γ = 60.00°
Site moments in Bohr magnetons follow the coordinates.
Element x y z (fractional)
Sc1 0.107 0.107 0.680  0.29
F1 0.500 0.500 0.500  0.01
Sc2 0.893 0.893 0.320  0.29
Pu1 0.000 0.000 0.000  -5.21